An optimized crystal structure of TlNiSb2. Source: Alexandria via LeMat-Bulk, functional PBE.

Cell lengths 5.3994, 5.3994, 4.0633 Å; angles 90.00, 90.00, 120.86 degrees
Atoms (fractional coordinates):
Tl 0.0000 0.0000 0.0000
Ni 0.5000 0.5000 0.0000
Sb 0.3309 0.6691 0.5000
Sb 0.6691 0.3309 0.5000

The formation energy without anion corrections comes out at -65 meV/atom. The total DFT energy (no corrections) is -4.16 eV per atom. Its energy above the most stable polymorph in this dataset is 0.0547 eV/atom.